Material: SrZn2Pb
Method: DFT, PBE-GGA
State: optimized geometry

Unit cell a=5.2722 b=5.2722 c=7.4056 alpha=90.00 beta=90.00 gamma=90.00
Space group I-4m2 (No. 119)
Unique sites:
Sr1 0.0000 0.0000 0.0000 [2 per cell]
Zn1 0.0000 0.0000 0.5000 [2 per cell]
Zn2 0.0000 0.5000 0.7500 [2 per cell]
Pb1 0.0000 0.5000 0.2500 [2 per cell]

Results
Spin magnetization = 0.00 μB per atom
Energy of formation = -0.0804 eV per atom
DOS at the Fermi energy = 1.0 states/eV/f.u.


Material: Sr3Zn2Pb2
Method: DFT, PBE-GGA
State: optimized geometry

Unit cell a=12.3038 b=4.5474 c=8.7023 alpha=90.00 beta=112.15 gamma=90.00
Space group C2/m (No. 12)
Unique sites:
Sr1 0.0000 0.0000 0.0000 [2 per cell]
Sr2 0.1799 0.0000 0.6498 [4 per cell]
Zn1 0.1984 0.5000 0.9446 [4 per cell]
Pb1 0.0343 0.5000 0.3299 [4 per cell]

Results
Spin magnetization = 0.00 μB per atom
Energy of formation = -0.3985 eV per atom
DOS at the Fermi energy = 3.7 states/eV/f.u.


Material: SrZn4Pb
Method: DFT, PBE-GGA
State: optimized geometry

Unit cell a=8.0621 b=8.0621 c=8.0621 alpha=90.00 beta=90.00 gamma=90.00
Space group F-43m (No. 216)
Unique sites:
Sr1 0.0000 0.0000 0.0000 [4 per cell]
Zn1 0.1254 0.1254 0.6254 [16 per cell]
Pb1 0.2500 0.2500 0.2500 [4 per cell]

Results
Spin magnetization = 0.00 μB per atom
Energy of formation = -0.0987 eV per atom
DOS at the Fermi energy = 1.7 states/eV/f.u.


Material: Sr2ZnPb
Method: DFT, PBE-GGA
State: optimized geometry

Unit cell a=8.0976 b=8.1069 c=4.0087 alpha=90.00 beta=90.00 gamma=90.00
Space group Cmmm (No. 65)
Unique sites:
Sr1 0.2500 0.2500 0.0000 [4 per cell]
Zn1 0.0000 0.0000 0.5000 [2 per cell]
Pb1 0.0000 0.5000 0.5000 [2 per cell]

Results
Spin magnetization = 0.00 μB per atom
Energy of formation = -0.3847 eV per atom
DOS at the Fermi energy = 1.6 states/eV/f.u.


Material: SrZnPb3
Method: DFT, PBE-GGA
State: optimized geometry

Unit cell a=5.5178 b=5.5178 c=5.5178 alpha=90.00 beta=90.00 gamma=90.00
Space group Pm-3m (No. 221)
Unique sites:
Sr1 0.0000 0.0000 0.0000 [1 per cell]
Zn1 0.5000 0.5000 0.5000 [1 per cell]
Pb1 0.0000 0.5000 0.5000 [3 per cell]

Results
Offset from the most stable computed form = 0 meV/atom
Spin magnetization = 0.00 μB per atom
Energy of formation = -0.0366 eV per atom
DOS at the Fermi energy = 3.1 states/eV/f.u.


Material: Sr2ZnPb
Method: DFT, PBE-GGA
State: optimized geometry

Unit cell a=8.0728 b=8.0728 c=8.0728 alpha=90.00 beta=90.00 gamma=90.00
Space group Fm-3m (No. 225)
Unique sites:
Sr1 0.2500 0.2500 0.2500 [8 per cell]
Zn1 0.0000 0.0000 0.0000 [4 per cell]
Pb1 0.0000 0.0000 0.5000 [4 per cell]

Results
Spin magnetization = 0.00 μB per atom
Energy of formation = -0.4271 eV per atom
DOS at the Fermi energy = 0.0 states/eV/f.u.


Material: Sr2ZnPb
Method: DFT, PBE-GGA
State: optimized geometry

Unit cell a=3.8901 b=6.4662 c=13.1454 alpha=90.00 beta=90.00 gamma=90.00
Space group Immm (No. 71)
Unique sites:
Sr1 0.0000 0.0000 0.2320 [4 per cell]
Zn1 0.0000 0.0000 0.0000 [2 per cell]
Pb1 0.0000 0.0000 0.5000 [2 per cell]

Results
Spin magnetization = 0.00 μB per atom
Energy of formation = 0.3495 eV per atom
DOS at the Fermi energy = 4.8 states/eV/f.u.


Material: SrZn2Pb
Method: DFT, PBE-GGA
State: optimized geometry

Unit cell a=5.0315 b=5.0315 c=19.7799 alpha=90.00 beta=90.00 gamma=90.00
Space group I-42d (No. 122)
Unique sites:
Sr1 0.0000 0.0000 0.0000 [4 per cell]
Zn1 0.0013 0.2500 0.6250 [8 per cell]
Pb1 0.0000 0.0000 0.5000 [4 per cell]

Results
Spin magnetization = 0.00 μB per atom
Energy of formation = -0.0542 eV per atom
DOS at the Fermi energy = 1.7 states/eV/f.u.


Material: Sr2ZnPb2
Method: DFT, PBE-GGA
State: optimized geometry

Unit cell a=7.9532 b=7.9532 c=5.1907 alpha=90.00 beta=90.00 gamma=90.00
Space group P4/mbm (No. 127)
Unique sites:
Sr1 0.1656 0.3344 0.0000 [4 per cell]
Zn1 0.0000 0.0000 0.5000 [2 per cell]
Pb1 0.1438 0.6438 0.5000 [4 per cell]

Results
Offset from the most stable computed form = 104 meV/atom
Spin magnetization = 0.00 μB per atom
Energy of formation = -0.3413 eV per atom
DOS at the Fermi energy = 2.7 states/eV/f.u.


Material: Sr2ZnPb2
Method: DFT, PBE-GGA
State: optimized geometry

Unit cell a=12.0482 b=5.0299 c=11.9766 alpha=90.00 beta=117.94 gamma=90.00
Space group C2/m (No. 12)
Unique sites:
Sr1 0.0091 0.0000 0.3331 [4 per cell]
Sr2 0.1814 0.0000 0.1072 [4 per cell]
Zn1 0.2166 0.5000 0.3417 [4 per cell]
Pb1 0.0226 0.5000 0.8795 [4 per cell]
Pb2 0.1522 0.5000 0.5560 [4 per cell]

Results
Offset from the most stable computed form = 0 meV/atom
Spin magnetization = 0.00 μB per atom
Energy of formation = -0.4455 eV per atom
DOS at the Fermi energy = 1.5 states/eV/f.u.


Material: SrZn2Pb
Method: DFT, PBE-GGA
State: optimized geometry

Unit cell a=3.6526 b=3.6526 c=7.6366 alpha=90.00 beta=90.00 gamma=90.00
Space group P4mm (No. 99)
Unique sites:
Sr1 0.0000 0.0000 0.0000 [1 per cell]
Zn1 0.0000 0.0000 0.4307 [1 per cell]
Zn2 0.5000 0.5000 0.2829 [1 per cell]
Pb1 0.5000 0.5000 0.6711 [1 per cell]

Results
Spin magnetization = 0.00 μB per atom
Energy of formation = -0.1094 eV per atom
DOS at the Fermi energy = 2.1 states/eV/f.u.


Material: Sr4ZnPb
Method: DFT, PBE-GGA
State: optimized geometry

Unit cell a=10.1807 b=10.1807 c=10.1807 alpha=90.00 beta=90.00 gamma=90.00
Space group F-43m (No. 216)
Unique sites:
Sr1 0.1243 0.1243 0.3757 [16 per cell]
Zn1 0.0000 0.0000 0.0000 [4 per cell]
Pb1 0.2500 0.2500 0.7500 [4 per cell]

Results
Spin magnetization = 0.00 μB per atom
Energy of formation = 0.3665 eV per atom
DOS at the Fermi energy = 7.8 states/eV/f.u.